This record from Alexandria via LeMat-Bulk describes a geometry-optimized NiP2ClF structure. The functional is PBE with a Hubbard U.

```
NiP2ClF
1.0
4.050 0.000 0.000
0.000 4.050 0.000
0.000 0.000 5.358
Ni P Cl F
1 2 1 1
Cartesian
0.000 0.000 0.000 Ni
0.000 2.025 2.679 P
2.025 0.000 2.679 P
2.025 2.025 0.000 Cl
2.025 2.025 2.679 F
```

Crystal system: tetragonal
Offset from the most stable computed form: 46.2 kJ/mol of atoms
Energy: -2.44 eV per atom